Entry 1:
First-principles (PBE) data for a relaxed K2ScAs crystal, as listed in Alexandria via LeMat-Bulk.

Cell lengths 3.2588, 3.2588, 11.9665 Å; angles 90.00, 90.00, 90.00 degrees
Fractional positions:
K  0.0000  0.0000  0.2008
K  0.0000  0.0000  0.7992
Sc  0.5000  0.5000  0.5000
As  0.5000  0.5000  0.0000

Output
symmetry = P4/mmm (123)
DFT formation energy = 0.29 eV/atom
crystal system = tetragonal
Fermi-level density of states = 4.41 states/eV/f.u.


Entry 2:
First-principles (PBE) data for a relaxed KScAs2 crystal, as listed in Alexandria via LeMat-Bulk.

Cell lengths 3.0181, 3.8142, 8.1550 Å; angles 90.00, 90.16, 90.00 degrees
Fractional positions:
K  0.0000  0.0000  0.0000
Sc  0.0000  0.0000  0.5000
As  0.4989  0.5000  0.3029
As  0.5011  0.5000  0.6971

Output
symmetry = P2/m (10)
DFT formation energy = -0.66 eV/atom
crystal system = monoclinic
Fermi-level density of states = 1.80 states/eV/f.u.


Entry 3:
First-principles (PBE) data for a relaxed KSc2As crystal, as listed in Alexandria via LeMat-Bulk.

Cell lengths 6.0520, 6.0520, 6.0520 Å; angles 138.52, 138.52, 60.11 degrees
Fractional positions:
K  0.0000  0.0000  0.0000
Sc  0.2500  0.7500  0.5000
Sc  0.5000  0.5000  0.0000
As  0.7500  0.2500  0.5000

Output
symmetry = I-4m2 (119)
DFT formation energy = 0.10 eV/atom
crystal system = tetragonal
Fermi-level density of states = 4.10 states/eV/f.u.


Entry 4:
First-principles (PBE) data for a relaxed K2ScAs crystal, as listed in Alexandria via LeMat-Bulk.

Cell lengths 3.8847, 3.8245, 10.6784 Å; angles 90.00, 100.38, 90.00 degrees
Fractional positions:
K  0.0000  0.0000  0.0000
K  0.3083  0.5000  0.6196
Sc  0.6560  0.0000  0.3154
As  0.1448  0.5000  0.2926

Output
symmetry = Pm (6)
DFT formation energy = -0.42 eV/atom
crystal system = monoclinic
Fermi-level density of states = 2.39 states/eV/f.u.


Entry 5:
First-principles (PBE) data for a relaxed KScAs2 crystal, as listed in Alexandria via LeMat-Bulk.

Cell lengths 4.7988, 4.7988, 3.9551 Å; angles 90.00, 90.00, 90.00 degrees
Fractional positions:
K  0.0000  0.0000  0.0000
Sc  0.5000  0.5000  0.0000
As  0.0000  0.5000  0.5000
As  0.5000  0.0000  0.5000

Output
symmetry = P4/mmm (123)
DFT formation energy = -0.28 eV/atom
crystal system = tetragonal
Fermi-level density of states = 2.37 states/eV/f.u.


Entry 6:
First-principles (PBE) data for a relaxed KScAs2 crystal, as listed in Alexandria via LeMat-Bulk.

Cell lengths 3.0824, 3.0824, 11.1335 Å; angles 90.00, 90.00, 90.00 degrees
Fractional positions:
K  0.0000  0.0000  0.0000
Sc  0.5000  0.5000  0.3309
As  0.0000  0.0000  0.4893
As  0.5000  0.5000  0.7686

Output
symmetry = P4mm (99)
DFT formation energy = 0.11 eV/atom
crystal system = tetragonal
Fermi-level density of states = 2.68 states/eV/f.u.


Entry 7:
First-principles (PBE) data for a relaxed K2ScAs crystal, as listed in Alexandria via LeMat-Bulk.

Cell lengths 7.5442, 7.5442, 7.5442 Å; angles 149.48, 132.95, 57.13 degrees
Fractional positions:
K  0.0000  0.0000  0.0000
K  0.6739  0.1739  0.5000
Sc  0.3382  0.8382  0.5000
As  0.4614  0.4614  0.0000

Output
symmetry = Imm2 (44)
DFT formation energy = -0.20 eV/atom
crystal system = orthorhombic
Fermi-level density of states = 2.62 states/eV/f.u.


Entry 8:
First-principles (PBE) data for a relaxed K2ScAsSe4 crystal, as listed in Alexandria via LeMat-Bulk.

Cell lengths 8.4286, 8.4286, 8.4286 Å; angles 120.41, 119.56, 90.03 degrees
Fractional positions:
K  0.0000  0.0000  0.0000
K  0.5000  0.0000  0.0000
K  0.5000  0.0000  0.5000
K  0.5000  0.5000  0.5000
Sc  0.0000  0.0000  0.5000
Sc  0.0000  0.5000  0.0000
As  0.0000  0.5000  0.5000
As  0.5000  0.5000  0.0000
Se  0.1983  0.7328  0.4655
Se  0.2316  0.2651  0.5336
Se  0.2316  0.6980  0.9664
Se  0.2328  0.2672  0.9655
Se  0.7672  0.7328  0.0345
Se  0.7684  0.3020  0.0336
Se  0.7684  0.7349  0.4664
Se  0.8017  0.2672  0.5345

Output
uncorrected formation energy = -1.03 eV/atom
symmetry = Imma (74)
crystal system = orthorhombic


For the records above, the corresponding V values read 31.77; 23.47; 24.06; 39.01; 22.77; 26.45; 39.62; 26.47 Å³ per atom.
For the records above, the corresponding total magnetization values read 0.5; 0.0; 0.0; 0.6; 0.0; 0.0; 0.1; 0.0 μB/f.u..